Record 1
SrCu2Ni | PBE | relaxed

Properties
Its space-group type is Cmmm, No. 65. The energy relative to the elements is 0.357 eV/atom. The crystal system is orthorhombic. As for the volume: 17.59 Å³ per atom.

a = 4.1242 Å, b = 4.1242 Å, c = 4.1363 Å
α = 90.00°, β = 90.00°, γ = 90.08°
Last column: nearest neighbours and their distance in Å.
Positions (direct):
1 Sr 0.0000 0.5000 0.5000  4 Ni 2.91-2.92, 8 Cu 2.92
2 Cu 0.5000 0.5000 0.0000  4 Cu 2.91-2.92, 4 Sr 2.92, 4 Ni 2.92
3 Ni 0.5000 0.0000 0.5000  4 Sr 2.91-2.92, 8 Cu 2.92
4 Cu 0.0000 0.0000 0.0000  4 Cu 2.91-2.92, 4 Ni 2.92, 4 Sr 2.92

=====

Record 2
Ce6TeAs2P3 | PBE | relaxed

Properties
Its uncorrected formation energy is -1.45 eV/atom. Its space-group type is C2/m, No. 12. The crystal system is monoclinic. As for the volume: 26.21 Å³ per atom.

a = 4.1840 Å, b = 8.4387 Å, c = 9.4057 Å
α = 103.37°, β = 102.85°, γ = 90.00°
Last column: nearest neighbours and their distance in Å.
Positions (direct):
1 Ce 0.6743 0.0815 0.3486  3 P 2.87-2.94, 2 As 3.01, 1 Te 3.11
2 Ce 0.3257 0.9185 0.6514  3 P 2.87-2.94, 2 As 3.01, 1 Te 3.11
3 Ce 0.0015 0.7292 0.0029  3 P 2.84-2.91, 1 As 3.01, 2 Te 3.10
4 Ce 0.3351 0.4125 0.6701  3 P 2.94, 3 As 2.99-3.00
5 P 0.1648 0.8321 0.3297  6 Ce 2.87-2.94
6 Te 0.5000 0.0000 0.0000  6 Ce 3.10-3.11
7 P 0.8352 0.1679 0.6703  6 Ce 2.87-2.94
8 As 0.8329 0.6670 0.6658  6 Ce 2.99-3.01
9 P 0.5000 0.5000 0.0000  6 Ce 2.84-2.94
10 Ce 0.9985 0.2708 0.9971  3 P 2.84-2.91, 1 As 3.01, 2 Te 3.10
11 As 0.1671 0.3330 0.3342  6 Ce 2.99-3.01
12 Ce 0.6649 0.5875 0.3299  3 P 2.94, 3 As 2.99-3.00

=====

Record 3
La4Tb3Pr4 | PBE | relaxed

Properties
For the relative energy among the computed polymorphs, the calculation gives 0 meV/atom. Its space-group type is Immm, No. 71. The energy relative to the elements is 0.116 eV/atom. The crystal system is orthorhombic. As for the volume: 36.34 Å³ per atom.

a = 3.6934 Å, b = 9.6903 Å, c = 12.3142 Å
α = 113.17°, β = 98.62°, γ = 90.00°
Last column: nearest neighbours and their distance in Å.
Positions (direct):
1 Tb 0.8964 0.8964 0.7928  6 Pr 3.46-3.48, 2 Tb 3.69, 4 La 3.82
2 Tb 0.1036 0.1036 0.2072  6 Pr 3.46-3.48, 2 Tb 3.69, 4 La 3.82
3 La 0.6440 0.8123 0.2880  1 La 3.26, 1 Pr 3.50
4 Tb 0.0000 0.5000 0.0000  4 Pr 3.53, 2 Tb 3.69
5 Pr 0.5000 0.1892 0.0000  6 Tb 3.48-3.53, 2 La 3.50, 3 Pr 3.67-3.69
6 Pr 0.5000 0.8108 0.0000  6 Tb 3.48-3.53, 2 La 3.50, 3 Pr 3.67-3.69
7 La 0.6440 0.4758 0.2880  1 La 3.26, 1 Pr 3.50
8 Pr 0.2657 0.7657 0.5313  2 Tb 3.46, 6 La 3.67-3.80, 2 Pr 3.69
9 La 0.3560 0.1877 0.7120  1 La 3.26, 1 Pr 3.50
10 La 0.3560 0.5242 0.7120  1 La 3.26, 1 Pr 3.50
11 Pr 0.7343 0.2343 0.4687  2 Tb 3.46, 6 La 3.67-3.80, 2 Pr 3.69

=====

Record 4
TlPd6Pt12 | PBE | relaxed

Properties
Its space-group type is P-1, No. 2. The energy relative to the elements is -0.042 eV/atom. The crystal system is triclinic. As for the volume: 15.82 Å³ per atom.

a = 7.4537 Å, b = 7.4466 Å, c = 6.9281 Å
α = 108.30°, β = 108.36°, γ = 110.44°
Last column: nearest neighbours and their distance in Å.
Positions (direct):
1 Pd 0.3722 0.9487 0.1087  9 Pt 2.77-2.89, 2 Pd 2.83-2.84, 1 Tl 2.83
2 Pt 0.7329 0.8903 0.2111  7 Pt 2.76-2.84, 4 Pd 2.78-2.86, 1 Tl 2.87
3 Pt 0.5277 0.2087 0.5741  4 Pd 2.77-2.84, 8 Pt 2.78-2.84
4 Pt 0.3146 0.5260 0.9500  8 Pt 2.78-2.83, 4 Pd 2.79-2.83
5 Pt 0.8943 0.1591 0.6757  6 Pt 2.76-2.83, 5 Pd 2.78-2.89, 1 Tl 2.88
6 Pt 0.2102 0.6827 0.6361  6 Pt 2.80-2.84, 6 Pd 2.80-2.84
7 Pd 0.1564 0.2632 0.4727  10 Pt 2.78-2.87, 1 Tl 2.81, 1 Pd 2.83
8 Tl 0.0000 0.0000 0.0000  6 Pd 2.81-2.83, 6 Pt 2.87-2.88
9 Pt 0.4272 0.3763 0.2655  4 Pd 2.78-2.87, 7 Pt 2.78-2.83, 1 Tl 2.87
10 Pt 0.5728 0.6237 0.7345  4 Pd 2.78-2.87, 7 Pt 2.78-2.83, 1 Tl 2.87
11 Pt 0.1057 0.8409 0.3243  6 Pt 2.76-2.83, 5 Pd 2.78-2.89, 1 Tl 2.88
12 Pd 0.8436 0.7368 0.5273  10 Pt 2.78-2.87, 1 Tl 2.81, 1 Pd 2.83
13 Pt 0.2671 0.1097 0.7889  7 Pt 2.76-2.84, 4 Pd 2.78-2.86, 1 Tl 2.87
14 Pd 0.6278 0.0513 0.8913  9 Pt 2.77-2.89, 2 Pd 2.83-2.84, 1 Tl 2.83
15 Pd 0.9478 0.5772 0.8430  8 Pt 2.79-2.86, 3 Pd 2.79-2.84, 1 Tl 2.82
16 Pt 0.6854 0.4740 0.0500  8 Pt 2.78-2.83, 4 Pd 2.79-2.83
17 Pt 0.4723 0.7913 0.4259  4 Pd 2.77-2.84, 8 Pt 2.78-2.84
18 Pt 0.7898 0.3173 0.3639  6 Pt 2.80-2.84, 6 Pd 2.80-2.84
19 Pd 0.0522 0.4228 0.1570  8 Pt 2.79-2.86, 3 Pd 2.79-2.84, 1 Tl 2.82

=====

Record 5
CePrPuO6 | PBE | relaxed

Properties
Its uncorrected formation energy is -3.07 eV/atom. Its space-group type is P-31c, No. 163. The crystal system is trigonal. As for the volume: 16.25 Å³ per atom.

a = 5.9174 Å, b = 5.9174 Å, c = 9.6472 Å
α = 90.00°, β = 90.00°, γ = 120.00°
Last column: nearest neighbours and their distance in Å.
Positions (direct):
1 O 0.9822 0.3422 0.1375  1 Pu 2.14, 1 Ce 2.28
2 Pu 0.6667 0.3333 0.2500  6 O 2.14
3 O 0.6578 0.6400 0.1375  1 Pu 2.14, 1 Ce 2.28
4 Ce 0.6667 0.3333 0.7500  6 O 2.28
5 Pu 0.3333 0.6667 0.7500  6 O 2.14
6 Ce 0.3333 0.6667 0.2500  6 O 2.28
7 O 0.3600 0.0178 0.1375  1 Pu 2.14, 1 Ce 2.28
8 O 0.6400 0.6578 0.6375  1 Pu 2.14, 1 Ce 2.28
9 Pr 0.0000 0.0000 0.5000  6 O 2.47
10 O 0.3422 0.9822 0.6375  1 Pu 2.14, 1 Ce 2.28
11 O 0.3422 0.3600 0.8625  1 Pu 2.14, 1 Ce 2.28
12 O 0.6578 0.0178 0.3625  1 Pu 2.14, 1 Ce 2.28
13 Pr 0.0000 0.0000 0.0000  6 O 2.47
14 O 0.0178 0.6578 0.8625  1 Pu 2.14, 1 Ce 2.28
15 O 0.0178 0.3600 0.6375  1 Pu 2.14, 1 Ce 2.28
16 O 0.3600 0.3422 0.3625  1 Pu 2.14, 1 Ce 2.28
17 O 0.6400 0.9822 0.8625  1 Pu 2.14, 1 Ce 2.28
18 O 0.9822 0.6400 0.3625  1 Pu 2.14, 1 Ce 2.28

=====

Record 6
NaTl2Rh | PBE | relaxed

Properties
Its space-group type is P4/mmm, No. 123. The energy relative to the elements is 0.000 eV/atom. The crystal system is tetragonal. As for the volume: 22.62 Å³ per atom.

a = 3.3511 Å, b = 3.3511 Å, c = 8.0567 Å
α = 90.00°, β = 90.00°, γ = 90.00°
Last column: nearest neighbours and their distance in Å.
Positions (direct):
1 Tl 0.0000 0.0000 0.7904  4 Rh 2.91
2 Rh 0.5000 0.5000 0.0000  8 Tl 2.91
3 Na 0.5000 0.5000 0.5000  8 Tl 3.33, 4 Na 3.35
4 Tl 0.0000 0.0000 0.2096  4 Rh 2.91

=====

Record 7
LaFeH2 | PBE | relaxed

Properties
For the relative energy among the computed polymorphs, the calculation gives 0 meV/atom. Its space-group type is I-42d, No. 122. The crystal system is tetragonal. As for the volume: 12.35 Å³ per atom.

a = 4.3304 Å, b = 4.3304 Å, c = 6.0943 Å
α = 69.19°, β = 69.19°, γ = 90.00°
Last column: nearest neighbours and their distance in Å.
Positions (direct):
1 H 0.8750 0.6788 0.7500  2 Fe 1.72
2 La 0.0000 0.0000 0.0000  4 H 2.58
3 H 0.3212 0.6250 0.2500  2 Fe 1.72
4 Fe 0.5000 0.5000 0.0000  4 H 1.72
5 H 0.4288 0.1250 0.2500  2 Fe 1.72
6 Fe 0.2500 0.7500 0.5000  4 H 1.72
7 H 0.3750 0.5712 0.7500  2 Fe 1.72
8 La 0.7500 0.2500 0.5000  4 H 2.58

=====

Record 8
Ba2Tl2Pd | PBE | relaxed

Properties
For the relative energy among the computed polymorphs, the calculation gives 381 meV/atom. Its space-group type is P4/mbm, No. 127. The energy relative to the elements is -0.059 eV/atom. The crystal system is tetragonal. As for the volume: 40.20 Å³ per atom.

a = 8.4028 Å, b = 8.4028 Å, c = 5.6933 Å
α = 90.00°, β = 90.00°, γ = 90.00°
Last column: nearest neighbours and their distance in Å.
Positions (direct):
1 Ba 0.8192 0.6808 0.0000  2 Pd 3.08
2 Tl 0.6344 0.8656 0.5000  1 Tl 3.20
3 Tl 0.8656 0.3656 0.5000  1 Tl 3.20
4 Ba 0.1808 0.3192 0.0000  2 Pd 3.08
5 Pd 0.0000 0.0000 0.0000  4 Ba 3.08
6 Tl 0.1344 0.6344 0.5000  1 Tl 3.20
7 Ba 0.3192 0.8192 0.0000  2 Pd 3.08
8 Tl 0.3656 0.1344 0.5000  1 Tl 3.20
9 Ba 0.6808 0.1808 0.0000  2 Pd 3.08
10 Pd 0.5000 0.5000 0.0000  4 Ba 3.08